Entry 1:
Compound: Tl2Cd2Pd
Source: the Alexandria database
Functional: GGA-PBE
Structure: optimized geometry

Cell lengths 7.370, 7.370, 4.623 Å; angles 90.00, 90.00, 90.00 degrees
Element x y z (fractional)
1 Cd 0.346 0.154 0.500
2 Pd 0.000 0.000 0.000
3 Pd 0.500 0.500 0.000
4 Tl 0.659 0.159 0.000
5 Cd 0.154 0.654 0.500
6 Tl 0.341 0.841 0.000
7 Tl 0.159 0.341 0.000
8 Cd 0.654 0.846 0.500
9 Cd 0.846 0.346 0.500
10 Tl 0.841 0.659 0.000

## Properties
- SG = P4/mbm, No. 127
- DFT formation energy (eV/atom) = 0.127
- offset from the most stable computed form (meV/atom) = 78

Entry 2:
Compound: Tl2CdPd3
Source: the Alexandria database
Functional: GGA-PBE
Structure: optimized geometry

Cell lengths 4.748, 5.547, 5.884 Å; angles 118.12, 113.79, 90.00 degrees
Element x y z (fractional)
1 Tl 0.330 0.830 0.661
2 Cd 0.000 0.500 0.000
3 Tl 0.670 0.170 0.339
4 Pd 0.337 0.337 0.674
5 Pd 0.000 0.000 0.000
6 Pd 0.663 0.663 0.326

## Properties
- SG = Immm, No. 71
- DFT formation energy (eV/atom) = -0.104

Entry 3:
Compound: Tl3CdPd6
Source: the Alexandria database
Functional: GGA-PBE
Structure: optimized geometry

Cell lengths 4.795, 7.987, 10.361 Å; angles 113.97, 90.00, 90.00 degrees
Element x y z (fractional)
1 Pd 0.750 0.545 0.922
2 Pd 0.250 0.670 0.677
3 Pd 0.750 0.744 0.515
4 Tl 0.750 0.646 0.214
5 Cd 0.250 0.951 0.577
6 Pd 0.250 0.256 0.485
7 Pd 0.750 0.842 0.818
8 Tl 0.750 0.213 0.020
9 Pd 0.250 0.158 0.182
10 Pd 0.750 0.330 0.323
11 Pd 0.750 0.135 0.720
12 Tl 0.750 0.466 0.623
13 Pd 0.250 0.060 0.871
14 Cd 0.750 0.049 0.423
15 Tl 0.250 0.534 0.377
16 Pd 0.750 0.940 0.129
17 Tl 0.250 0.354 0.786
18 Pd 0.250 0.865 0.280
19 Pd 0.250 0.455 0.078
20 Tl 0.250 0.787 0.980

## Properties
- SG = P2_1/m, No. 11
- DFT formation energy (eV/atom) = -0.193
- offset from the most stable computed form (meV/atom) = 0

Entry 4:
Compound: TlCd2Pd3
Source: the Alexandria database
Functional: GGA-PBE
Structure: optimized geometry

Cell lengths 3.335, 3.335, 9.787 Å; angles 90.00, 90.00, 90.00 degrees
Element x y z (fractional)
1 Pd 0.000 0.000 0.000
2 Pd 0.000 0.000 0.672
3 Cd 0.500 0.500 0.838
4 Pd 0.000 0.000 0.328
5 Tl 0.500 0.500 0.500
6 Cd 0.500 0.500 0.162

## Properties
- SG = P4/mmm, No. 123
- DFT formation energy (eV/atom) = -0.289
- offset from the most stable computed form (meV/atom) = 9

Entry 5:
Compound: Tl2CdPd5
Source: the Alexandria database
Functional: GGA-PBE
Structure: optimized geometry

Cell lengths 4.851, 4.851, 6.955 Å; angles 110.41, 110.41, 90.00 degrees
Element x y z (fractional)
1 Cd 0.000 0.000 0.000
2 Pd 0.500 0.500 0.000
3 Tl 0.259 0.259 0.518
4 Pd 0.123 0.623 0.245
5 Pd 0.877 0.377 0.755
6 Pd 0.623 0.123 0.245
7 Pd 0.377 0.877 0.755
8 Tl 0.741 0.741 0.482

## Properties
- SG = I4/mmm, No. 139
- DFT formation energy (eV/atom) = -0.197

Entry 6:
Compound: Tl2CdPd6
Source: the Alexandria database
Functional: GGA-PBE
Structure: optimized geometry

Cell lengths 2.985, 7.768, 8.253 Å; angles 118.07, 100.90, 90.00 degrees
Element x y z (fractional)
1 Pd 0.834 0.023 0.668
2 Pd 0.166 0.977 0.332
3 Pd 0.500 0.307 0.000
4 Cd 0.000 0.000 0.000
5 Tl 0.665 0.666 0.332
6 Pd 0.500 0.693 0.000
7 Tl 0.335 0.334 0.668
8 Pd 0.834 0.645 0.668
9 Pd 0.166 0.355 0.332

## Properties
- SG = C2/m, No. 12
- DFT formation energy (eV/atom) = -0.105
- offset from the most stable computed form (meV/atom) = 66

Entry 7:
Compound: Tl3CdPd12
Source: the Alexandria database
Functional: GGA-PBE
Structure: optimized geometry

Cell lengths 4.079, 4.079, 16.189 Å; angles 90.00, 90.00, 90.00 degrees
Element x y z (fractional)
1 Pd 0.500 0.500 0.248
2 Cd 0.000 0.000 0.000
3 Pd 0.500 0.000 0.374
4 Pd 0.500 0.000 0.878
5 Pd 0.000 0.500 0.626
6 Tl 0.000 0.000 0.752
7 Pd 0.500 0.000 0.626
8 Pd 0.000 0.500 0.878
9 Pd 0.500 0.500 0.000
10 Pd 0.000 0.500 0.374
11 Tl 0.000 0.000 0.500
12 Tl 0.000 0.000 0.248
13 Pd 0.500 0.500 0.500
14 Pd 0.500 0.000 0.122
15 Pd 0.500 0.500 0.752
16 Pd 0.000 0.500 0.122

## Properties
- SG = P4/mmm, No. 123
- DFT formation energy (eV/atom) = -0.195

Entry 8:
Compound: Tm4Tl2CdPd
Source: the Alexandria database
Functional: GGA-PBE
Structure: optimized geometry

Cell lengths 5.202, 5.202, 8.927 Å; angles 73.06, 73.06, 60.00 degrees
Element x y z (fractional)
1 Tl 0.255 0.255 0.235
2 Tm 0.383 0.383 0.852
3 Tl 0.745 0.745 0.765
4 Pd 0.500 0.500 0.500
5 Cd 0.000 0.000 0.000
6 Tm 0.617 0.617 0.148
7 Tm 0.870 0.870 0.391
8 Tm 0.130 0.130 0.609

## Properties
- SG = R-3m, No. 166
- DFT formation energy (eV/atom) = -0.454

Entry 9:
Compound: YTlCdPd
Source: the Alexandria database
Functional: GGA-PBE
Structure: optimized geometry

Cell lengths 5.001, 5.001, 5.001 Å; angles 60.00, 60.00, 60.00 degrees
Element x y z (fractional)
1 Pd 0.500 0.500 0.500
2 Y 0.250 0.250 0.250
3 Cd 0.750 0.750 0.750
4 Tl 0.000 0.000 0.000

## Properties
- SG = F-43m, No. 216
- DFT formation energy (eV/atom) = -0.423

Entry 10:
Compound: TlZn2Cd2Pd5
Source: the Alexandria database
Functional: GGA-PBE
Structure: optimized geometry

Cell lengths 3.858, 9.487, 9.487 Å; angles 90.00, 90.00, 90.00 degrees
Element x y z (fractional)
1 Cd 0.000 0.830 0.670
2 Pd 0.500 0.585 0.700
3 Pd 0.500 0.300 0.585
4 Pd 0.500 0.000 0.500
5 Pd 0.500 0.200 0.085
6 Tl 0.000 0.500 0.500
7 Zn 0.000 0.875 0.375
8 Cd 0.000 0.330 0.830
9 Pd 0.500 0.800 0.915
10 Pd 0.500 0.085 0.800
11 Zn 0.000 0.375 0.125
12 Zn 0.000 0.125 0.625
13 Pd 0.500 0.500 0.000
14 Pd 0.500 0.700 0.415
15 Pd 0.500 0.915 0.200
16 Cd 0.000 0.170 0.330
17 Tl 0.000 0.000 0.000
18 Pd 0.500 0.415 0.300
19 Zn 0.000 0.625 0.875
20 Cd 0.000 0.670 0.170

## Properties
- SG = P4/mbm, No. 127
- DFT formation energy (eV/atom) = -0.316

Entry 11:
Compound: TmCdPd2
Source: the Alexandria database
Functional: GGA-PBE
Structure: optimized geometry

Cell lengths 3.537, 3.537, 6.099 Å; angles 90.00, 90.00, 90.00 degrees
Element x y z (fractional)
1 Pd 0.000 0.000 0.255
2 Tm 0.500 0.500 0.000
3 Pd 0.000 0.000 0.745
4 Cd 0.500 0.500 0.500

## Properties
- SG = P4/mmm, No. 123
- DFT formation energy (eV/atom) = -0.722
- offset from the most stable computed form (meV/atom) = 44

Entry 12:
Compound: Tm3CdPd4
Source: the Alexandria database
Functional: GGA-PBE
Structure: optimized geometry

Cell lengths 4.837, 6.784, 9.675 Å; angles 90.00, 90.00, 90.00 degrees
Element x y z (fractional)
1 Cd 0.000 0.500 0.000
2 Pd 0.500 0.754 0.500
3 Pd 0.500 0.246 0.000
4 Pd 0.001 0.246 0.750
5 Pd 0.999 0.754 0.250
6 Pd 0.500 0.246 0.500
7 Tm 0.500 0.500 0.750
8 Pd 0.500 0.754 0.000
9 Tm 0.000 0.000 0.000
10 Pd 0.001 0.754 0.750
11 Tm 0.500 0.500 0.250
12 Tm 0.000 0.000 0.500
13 Tm 0.500 0.000 0.750
14 Tm 0.500 0.000 0.250
15 Pd 0.999 0.246 0.250
16 Cd 0.000 0.500 0.500

## Properties
- SG = P4/mmm, No. 123
- DFT formation energy (eV/atom) = -0.846
- offset from the most stable computed form (meV/atom) = 0

Repeat the eleventh record exactly.
Compound: TmCdPd2
Source: the Alexandria database
Functional: GGA-PBE
Structure: optimized geometry

Cell lengths 3.537, 3.537, 6.099 Å; angles 90.00, 90.00, 90.00 degrees
Element x y z (fractional)
1 Pd 0.000 0.000 0.255
2 Tm 0.500 0.500 0.000
3 Pd 0.000 0.000 0.745
4 Cd 0.500 0.500 0.500

## Properties
- SG = P4/mmm, No. 123
- DFT formation energy (eV/atom) = -0.722
- offset from the most stable computed form (meV/atom) = 44

Question: Number 5 is which compound?
Answer: Tl2CdPd5

Question: Which of these has the highest DFT formation energy?
Answer: Tl2Cd2Pd

Question: Among the records above, which one has the highest DFT formation energy?
Answer: Tl2Cd2Pd